# Li6CdPb2

A relaxed Li6CdPb2 crystal (GGA-PBE, Alexandria via LeMat-Bulk).

The value obtained for the formation energy from the elements is -27.0 kJ/mol of atoms. Its crystal system is trigonal. For the total energy, the calculation gives -0.0912 hartree per atom.

It has space group P-3m1 (No. 164), with a = 4.7968 Å, b = 4.7968 Å, c = 8.7076 Å, α = 90.00°, β = 90.00° and γ = 120.00°. The distinct sites, in fractional coordinates, are Li at (0.0000, 0.0000, 0.1756), Li at (0.3333, 0.6667, 0.0720), Li at (0.3333, 0.6667, 0.4009), Cd at (0.0000, 0.0000, 0.5000) and Pb at (0.3333, 0.6667, 0.7432).